# AlNiHgSe2

A relaxed structure of AlNiHgSe2 (PBE-GGA, Alexandria via LeMat-Bulk).

Cell: 5.3456 4.9471 5.3456 Å, 90.00 90.00 90.00°
Sites, in units of the cell vectors:
Hg: 0.0000 0.0000 0.0000
Se: 0.5000 0.0000 0.0000
Se: 0.0000 0.0000 0.5000
Ni: 0.5000 0.5000 0.5000
Al: 0.0000 0.5000 0.0000

* formation energy without anion corrections: 5.42 eV per formula unit
* DFT total energy: -2.276 eV per atom
* crystal system: tetragonal
* space group: P4/mmm, No. 123


# TiAl2NiHg

A relaxed structure of TiAl2NiHg (PBE-GGA, Alexandria via LeMat-Bulk).

Cell: 4.8130 4.7137 4.8130 Å, 90.00 90.00 90.00°
Sites, in units of the cell vectors:
Al: 0.0000 0.0000 0.5000
Al: 0.5000 0.0000 0.0000
Ni: 0.0000 0.5000 0.0000
Hg: 0.0000 0.0000 0.0000
Ti: 0.5000 0.5000 0.5000

* DFT total energy: -3.296 eV per atom
* crystal system: tetragonal
* energy relative to the elements: 4.99 eV per formula unit
* space group: P4/mmm, No. 123


# TiAlNi2Hg

A relaxed structure of TiAlNi2Hg (PBE-GGA, Alexandria via LeMat-Bulk).

Cell: 4.4053 5.0290 4.4053 Å, 90.00 90.00 90.00°
Sites, in units of the cell vectors:
Hg: 0.5000 0.5000 0.5000
Ni: 0.0000 0.0000 0.5000
Ni: 0.5000 0.0000 0.0000
Al: 0.0000 0.5000 0.0000
Ti: 0.0000 0.0000 0.0000

* DFT total energy: -3.825 eV per atom
* crystal system: tetragonal
* energy relative to the elements: 4.37 eV per formula unit
* space group: P4/mmm, No. 123


# ZrAlNiHg2

A relaxed structure of ZrAlNiHg2 (PBE-GGA, Alexandria via LeMat-Bulk).

Cell: 4.8569 5.1651 4.8569 Å, 90.00 90.00 90.00°
Sites, in units of the cell vectors:
Zr: 0.0000 0.5000 0.0000
Hg: 0.5000 0.0000 0.0000
Hg: 0.0000 0.0000 0.5000
Ni: 0.5000 0.5000 0.5000
Al: 0.0000 0.0000 0.0000

* DFT total energy: -2.846 eV per atom
* crystal system: tetragonal
* energy relative to the elements: 4.45 eV per formula unit
* space group: P4/mmm, No. 123